Record 1
Ni7P6O24: optimized geometry, PBE+U.

DOS at the Fermi energy, states/eV/atom: 0.357
Calculated volume, Å³/atom: 11.2
DFT total energy, eV per atom: -6.222

a = 6.368 Å, b = 7.956 Å, c = 9.317 Å
α = 105.04°, β = 108.57°, γ = 100.88°
Space group P-1 (No. 2)
Symmetry-distinct sites (fractional):
Ni: 0.000 0.000 0.000 (multiplicity 1)
Ni: 0.046 0.714 0.517 (multiplicity 2)
Ni: 0.266 0.802 0.275 (multiplicity 2)
Ni: 0.389 0.456 0.113 (multiplicity 2)
P: 0.091 0.594 0.835 (multiplicity 2)
P: 0.230 0.138 0.774 (multiplicity 2)
P: 0.405 0.234 0.376 (multiplicity 2)
O: 0.017 0.182 0.668 (multiplicity 2)
O: 0.066 0.553 0.657 (multiplicity 2)
O: 0.117 0.789 0.927 (multiplicity 2)
O: 0.128 0.533 0.164 (multiplicity 2)
O: 0.210 0.936 0.712 (multiplicity 2)
O: 0.232 0.185 0.948 (multiplicity 2)
O: 0.264 0.294 0.475 (multiplicity 2)
O: 0.270 0.045 0.241 (multiplicity 2)
O: 0.307 0.536 0.917 (multiplicity 2)
O: 0.370 0.776 0.500 (multiplicity 2)
O: 0.456 0.251 0.771 (multiplicity 2)
O: 0.472 0.372 0.299 (multiplicity 2)

---

Record 2
Ni2P2O: optimized geometry, PBE+U.

DOS at the Fermi energy, states/eV/atom: 0.371
Calculated volume, Å³/atom: 12.1
DFT total energy, eV per atom: -3.424

a = 3.398 Å, b = 3.398 Å, c = 10.487 Å
α = 90.00°, β = 90.00°, γ = 90.00°
Space group I4/mmm (No. 139)
Symmetry-distinct sites (fractional):
Ni: 0.000 0.000 0.111 (multiplicity 4)
P: 0.000 0.500 0.250 (multiplicity 4)
O: 0.000 0.000 0.500 (multiplicity 2)

---

Record 3
Ni4P2O9: optimized geometry, PBE+U.

DOS at the Fermi energy, states/eV/atom: 0.000
Calculated volume, Å³/atom: 11.3
DFT total energy, eV per atom: -6.036

a = 6.056 Å, b = 7.650 Å, c = 8.371 Å
α = 99.50°, β = 110.23°, γ = 104.91°
Space group P-1 (No. 2)
Symmetry-distinct sites (fractional):
Ni: 0.051 0.347 0.216 (multiplicity 2)
Ni: 0.147 0.891 0.584 (multiplicity 2)
Ni: 0.422 0.643 0.775 (multiplicity 2)
Ni: 0.427 0.880 0.099 (multiplicity 2)
P: 0.107 0.270 0.841 (multiplicity 2)
P: 0.470 0.286 0.564 (multiplicity 2)
O: 0.003 0.894 0.328 (multiplicity 2)
O: 0.058 0.757 0.050 (multiplicity 2)
O: 0.128 0.462 0.795 (multiplicity 2)
O: 0.204 0.283 0.448 (multiplicity 2)
O: 0.292 0.854 0.832 (multiplicity 2)
O: 0.370 0.273 0.961 (multiplicity 2)
O: 0.371 0.719 0.547 (multiplicity 2)
O: 0.397 0.530 0.278 (multiplicity 2)
O: 0.455 0.117 0.644 (multiplicity 2)

---

Record 4
Ni2P2O7: optimized geometry, PBE+U.

DOS at the Fermi energy, states/eV/atom: 0.000
Calculated volume, Å³/atom: 11.1
DFT total energy, eV per atom: -6.468

a = 6.999 Å, b = 8.361 Å, c = 9.075 Å
α = 90.00°, β = 113.57°, γ = 90.00°
Space group P2_1/c (No. 14)
Symmetry-distinct sites (fractional):
Ni: 0.194 0.058 0.322 (multiplicity 4)
Ni: 0.270 0.075 0.891 (multiplicity 4)
P: 0.029 0.726 0.966 (multiplicity 4)
P: 0.439 0.730 0.256 (multiplicity 4)
O: 0.023 0.089 0.658 (multiplicity 4)
O: 0.052 0.611 0.396 (multiplicity 4)
O: 0.123 0.235 0.450 (multiplicity 4)
O: 0.249 0.668 0.096 (multiplicity 4)
O: 0.379 0.238 0.298 (multiplicity 4)
O: 0.383 0.612 0.808 (multiplicity 4)
O: 0.475 0.594 0.380 (multiplicity 4)

---

Record 5
Ni3PO: optimized geometry, PBE+U.

DOS at the Fermi energy, states/eV/atom: 0.524
Calculated volume, Å³/atom: 12.1
DFT total energy, eV per atom: -3.444

a = 3.923 Å, b = 3.923 Å, c = 3.923 Å
α = 90.00°, β = 90.00°, γ = 90.00°
Space group Pm-3m (No. 221)
Symmetry-distinct sites (fractional):
Ni: 0.000 0.000 0.500 (multiplicity 3)
P: 0.500 0.500 0.500 (multiplicity 1)
O: 0.000 0.000 0.000 (multiplicity 1)

---

Record 6
NiP2O10: optimized geometry, PBE+U.

DOS at the Fermi energy, states/eV/atom: 0.325
Calculated volume, Å³/atom: 13.7
DFT total energy, eV per atom: -5.476

a = 5.171 Å, b = 9.474 Å, c = 8.659 Å
α = 90.00°, β = 123.22°, γ = 90.00°
Space group P2_1/c (No. 14)
Symmetry-distinct sites (fractional):
Ni: 0.000 0.000 0.000 (multiplicity 2)
P: 0.374 0.197 0.674 (multiplicity 4)
O: 0.097 0.152 0.687 (multiplicity 4)
O: 0.114 0.541 0.321 (multiplicity 4)
O: 0.308 0.656 0.661 (multiplicity 4)
O: 0.332 0.123 0.502 (multiplicity 4)
O: 0.348 0.143 0.135 (multiplicity 4)

---

Record 7
NiP2O7: optimized geometry, PBE+U.

DOS at the Fermi energy, states/eV/atom: 0.273
Calculated volume, Å³/atom: 14.3
DFT total energy, eV per atom: -6.383

a = 5.008 Å, b = 8.536 Å, c = 6.968 Å
α = 90.00°, β = 105.93°, γ = 90.00°
Space group P2_1 (No. 4)
Symmetry-distinct sites (fractional):
Ni: 0.211 0.000 0.225 (multiplicity 2)
P: 0.250 0.732 0.594 (multiplicity 2)
P: 0.375 0.318 0.017 (multiplicity 2)
O: 0.019 0.657 0.666 (multiplicity 2)
O: 0.138 0.436 0.991 (multiplicity 2)
O: 0.150 0.827 0.407 (multiplicity 2)
O: 0.264 0.152 0.011 (multiplicity 2)
O: 0.422 0.852 0.763 (multiplicity 2)
O: 0.438 0.593 0.575 (multiplicity 2)
O: 0.469 0.849 0.137 (multiplicity 2)

---

Record 8
Ni7P8O28: optimized geometry, PBE+U.

DOS at the Fermi energy, states/eV/atom: 0.306
Calculated volume, Å³/atom: 11.4
DFT total energy, eV per atom: -6.448

a = 8.412 Å, b = 9.711 Å, c = 23.937 Å
α = 90.00°, β = 90.00°, γ = 90.00°
Space group C222_1 (No. 20)
Symmetry-distinct sites (fractional):
Ni: 0.000 0.231 0.250 (multiplicity 4)
Ni: 0.062 0.139 0.619 (multiplicity 8)
Ni: 0.073 0.500 0.500 (multiplicity 4)
Ni: 0.184 0.362 0.360 (multiplicity 8)
Ni: 0.203 0.000 0.500 (multiplicity 4)
P: 0.103 0.204 0.000 (multiplicity 8)
P: 0.118 0.150 0.123 (multiplicity 8)
P: 0.125 0.440 0.878 (multiplicity 8)
P: 0.236 0.034 0.731 (multiplicity 8)
O: 0.007 0.221 0.339 (multiplicity 8)
O: 0.029 0.497 0.401 (multiplicity 8)
O: 0.036 0.141 0.533 (multiplicity 8)
O: 0.043 0.173 0.062 (multiplicity 8)
O: 0.105 0.114 0.701 (multiplicity 8)
O: 0.110 0.363 0.996 (multiplicity 8)
O: 0.127 0.008 0.870 (multiplicity 8)
O: 0.128 0.497 0.815 (multiplicity 8)
O: 0.129 0.281 0.873 (multiplicity 8)
O: 0.170 0.380 0.274 (multiplicity 8)
O: 0.179 0.100 0.244 (multiplicity 8)
O: 0.217 0.290 0.625 (multiplicity 8)
O: 0.225 0.007 0.408 (multiplicity 8)
O: 0.236 0.356 0.487 (multiplicity 8)

---

Record 9
NiP3O9: optimized geometry, PBE+U.

DOS at the Fermi energy, states/eV/atom: 0.484
Calculated volume, Å³/atom: 12.2
DFT total energy, eV per atom: -6.677

a = 8.439 Å, b = 8.589 Å, c = 8.736 Å
α = 90.00°, β = 90.00°, γ = 90.00°
Space group P2_12_12_1 (No. 19)
Symmetry-distinct sites (fractional):
Ni: 0.135 0.141 0.148 (multiplicity 4)
P: 0.032 0.679 0.692 (multiplicity 4)
P: 0.179 0.512 0.195 (multiplicity 4)
P: 0.207 0.194 0.554 (multiplicity 4)
O: 0.043 0.223 0.645 (multiplicity 4)
O: 0.095 0.374 0.126 (multiplicity 4)
O: 0.097 0.127 0.914 (multiplicity 4)
O: 0.102 0.593 0.327 (multiplicity 4)
O: 0.132 0.812 0.633 (multiplicity 4)
O: 0.143 0.536 0.745 (multiplicity 4)
O: 0.166 0.160 0.391 (multiplicity 4)
O: 0.186 0.913 0.143 (multiplicity 4)
O: 0.215 0.635 0.060 (multiplicity 4)

---

Record 10
NiP2O2: optimized geometry, PBE+U.

DOS at the Fermi energy, states/eV/atom: 0.784
Calculated volume, Å³/atom: 11.8
DFT total energy, eV per atom: -3.703

a = 3.917 Å, b = 3.917 Å, c = 3.833 Å
α = 90.00°, β = 90.00°, γ = 90.00°
Space group P4/mmm (No. 123)
Symmetry-distinct sites (fractional):
Ni: 0.000 0.000 0.000 (multiplicity 1)
P: 0.000 0.500 0.500 (multiplicity 2)
O: 0.500 0.500 0.000 (multiplicity 1)
O: 0.500 0.500 0.500 (multiplicity 1)

---

Record 11
Ni3PO6: optimized geometry, PBE+U.

DOS at the Fermi energy, states/eV/atom: 0.207
Calculated volume, Å³/atom: 10.5
DFT total energy, eV per atom: -5.578

a = 8.289 Å, b = 10.716 Å, c = 4.728 Å
α = 90.00°, β = 90.00°, γ = 90.00°
Space group Cmc2_1 (No. 36)
Symmetry-distinct sites (fractional):
Ni: 0.000 0.102 0.000 (multiplicity 4)
Ni: 0.207 0.391 0.976 (multiplicity 8)
P: 0.000 0.303 0.396 (multiplicity 4)
O: 0.000 0.304 0.723 (multiplicity 4)
O: 0.000 0.432 0.252 (multiplicity 4)
O: 0.148 0.232 0.266 (multiplicity 8)
O: 0.165 0.023 0.762 (multiplicity 8)

---

Record 12
NiP3O9: optimized geometry, PBE+U.

DOS at the Fermi energy, states/eV/atom: 0.307
Calculated volume, Å³/atom: 12.9
DFT total energy, eV per atom: -6.676

a = 6.617 Å, b = 7.045 Å, c = 7.445 Å
α = 75.40°, β = 86.50°, γ = 87.96°
Space group P-1 (No. 2)
Symmetry-distinct sites (fractional):
Ni: 0.138 0.081 0.139 (multiplicity 2)
P: 0.131 0.761 0.549 (multiplicity 2)
P: 0.309 0.384 0.763 (multiplicity 2)
P: 0.353 0.968 0.780 (multiplicity 2)
O: 0.057 0.234 0.329 (multiplicity 2)
O: 0.121 0.824 0.343 (multiplicity 2)
O: 0.159 0.340 0.930 (multiplicity 2)
O: 0.173 0.932 0.921 (multiplicity 2)
O: 0.219 0.536 0.590 (multiplicity 2)
O: 0.312 0.877 0.610 (multiplicity 2)
O: 0.348 0.202 0.674 (multiplicity 2)
O: 0.442 0.092 0.157 (multiplicity 2)
O: 0.497 0.542 0.182 (multiplicity 2)